{
  "formula": "SbPbS3",
  "functional": "PBE-GGA",
  "state": "relaxed",
  "lattice": [[-4.0977, -1.3809, -2.5951], [2.4368, -4.0859, -1.6735], [-1.6443, -2.6137, 3.9872]],
  "species": ["Pb", "S", "S", "S", "Sb"],
  "frac_coords": [[0.5000, 0.5000, 0.5000], [0.0000, 0.5000, 0.0000], [0.5000, 0.0000, 0.0000], [0.0000, 0.0000, 0.5000], [0.0000, 0.0000, 0.0000]],
  "magnetic_moment_mub_per_fu": 0.00,
  "polymorph_energy_mev_per_atom": 301
}